Here is TbHgPb2 after structural relaxation from the Alexandria database. Energies are from GGA-PBE.

Values from the calculation:
- Energy: -3.41 eV per atom
- Calculated formation energy: -0.3261 eV/atom
- Calculated volume: 108 Å³/cell
- N(E_F): 0.46 states/eV per atom

a b c (Å): 4.8692 4.8692 4.5681
angles (deg): 90.00 90.00 90.00
Atoms (fractional coordinates):
Tb: 0.0000 0.0000 0.0000
Hg: 0.5000 0.5000 0.0000
Pb: 0.0000 0.5000 0.5000
Pb: 0.5000 0.0000 0.5000

Here is Tb2Hg3Pb2 after structural relaxation from the Alexandria database. Energies are from GGA-PBE.

Values from the calculation:
- Energy: -2.68 eV per atom
- Calculated formation energy: -0.1643 eV/atom
- Calculated volume: 397 Å³/cell
- N(E_F): 0.81 states/eV per atom

a b c (Å): 8.0172 8.0172 8.0172
angles (deg): 109.47 109.47 109.47
Atoms (fractional coordinates):
Tb: 0.0000 0.0422 0.5000
Tb: 0.0422 0.5000 0.0000
Tb: 0.4578 0.4578 0.4578
Tb: 0.5000 0.0000 0.0422
Hg: 0.2217 0.9717 0.2500
Hg: 0.2500 0.2217 0.9717
Hg: 0.2783 0.5283 0.7500
Hg: 0.5283 0.7500 0.2783
Hg: 0.7500 0.2783 0.5283
Hg: 0.9717 0.2500 0.2217
Pb: 0.0000 0.6427 0.5000
Pb: 0.5000 0.0000 0.6427
Pb: 0.6427 0.5000 0.0000
Pb: 0.8573 0.8573 0.8573

Here is TbHg2Pb2 after structural relaxation from the Alexandria database. Energies are from GGA-PBE.

Values from the calculation:
- Energy: -2.76 eV per atom
- Calculated formation energy: -0.2297 eV/atom
- Calculated volume: 269 Å³/cell
- N(E_F): 0.47 states/eV per atom

a b c (Å): 12.5222 12.5222 4.5736
angles (deg): 90.00 90.00 157.97
Atoms (fractional coordinates):
Tb: 0.1385 0.8615 0.7500
Tb: 0.8615 0.1385 0.2500
Hg: 0.0435 0.9565 0.2500
Hg: 0.4532 0.5468 0.2500
Hg: 0.5468 0.4532 0.7500
Hg: 0.9565 0.0435 0.7500
Pb: 0.2486 0.7514 0.2500
Pb: 0.3570 0.6430 0.7500
Pb: 0.6430 0.3570 0.2500
Pb: 0.7514 0.2486 0.7500

Here is Tb2HgPb4 after structural relaxation from the Alexandria database. Energies are from GGA-PBE.

Values from the calculation:
- Energy: -3.78 eV per atom
- Calculated formation energy: -0.2923 eV/atom
- Calculated volume: 208 Å³/cell
- Energy above the lowest structure with this stoichiometry: 0 meV per atom
- N(E_F): 0.53 states/eV per atom

a b c (Å): 6.5860 6.5860 4.7995
angles (deg): 90.00 90.00 94.38
Atoms (fractional coordinates):
Tb: 0.2306 0.7694 0.0000
Tb: 0.7694 0.2306 0.0000
Hg: 0.0000 0.0000 0.5000
Pb: 0.0000 0.5000 0.5000
Pb: 0.2797 0.2797 0.0000
Pb: 0.5000 0.0000 0.5000
Pb: 0.7203 0.7203 0.0000

Here is Tb4Hg4Pb5 after structural relaxation from the Alexandria database. Energies are from GGA-PBE.

Values from the calculation:
- Energy: -3.28 eV per atom
- Calculated formation energy: -0.3392 eV/atom
- Calculated volume: 352 Å³/cell
- N(E_F): 0.51 states/eV per atom

a b c (Å): 8.9571 8.9571 8.9571
angles (deg): 93.97 93.97 149.47
Atoms (fractional coordinates):
Tb: 0.1267 0.7728 0.8996
Tb: 0.2272 0.1267 0.3539
Tb: 0.7728 0.8733 0.6461
Tb: 0.8733 0.2272 0.1004
Hg: 0.0875 0.3958 0.4834
Hg: 0.3958 0.9125 0.3083
Hg: 0.6042 0.0875 0.6917
Hg: 0.9125 0.6042 0.5166
Pb: 0.0000 0.0000 0.0000
Pb: 0.2960 0.5583 0.8543
Pb: 0.4417 0.2960 0.7376
Pb: 0.5583 0.7040 0.2624
Pb: 0.7040 0.4417 0.1457

Here is TbHg3Pb after structural relaxation from the Alexandria database. Energies are from GGA-PBE.

Values from the calculation:
- Energy: -2.07 eV per atom
- Calculated formation energy: -0.2215 eV/atom
- Calculated volume: 535 Å³/cell
- Energy above the lowest structure with this stoichiometry: 0 meV per atom
- N(E_F): 0.63 states/eV per atom

a b c (Å): 7.9693 6.7226 9.9826
angles (deg): 90.00 90.00 90.00
Atoms (fractional coordinates):
Tb: 0.1608 0.2500 0.0823
Tb: 0.3392 0.7500 0.5823
Tb: 0.6608 0.2500 0.4177
Tb: 0.8392 0.7500 0.9177
Hg: 0.1483 0.7500 0.1172
Hg: 0.1552 0.5156 0.8111
Hg: 0.1552 0.9844 0.8111
Hg: 0.3448 0.0156 0.3111
Hg: 0.3448 0.4844 0.3111
Hg: 0.3517 0.2500 0.6172
Hg: 0.6483 0.7500 0.3828
Hg: 0.6552 0.5156 0.6889
Hg: 0.6552 0.9844 0.6889
Hg: 0.8448 0.0156 0.1889
Hg: 0.8448 0.4844 0.1889
Hg: 0.8517 0.2500 0.8828
Pb: 0.0000 0.0000 0.5000
Pb: 0.0000 0.5000 0.5000
Pb: 0.5000 0.0000 0.0000
Pb: 0.5000 0.5000 0.0000

Here is Tb2Hg3Pb after structural relaxation from the Alexandria database. Energies are from GGA-PBE.

Values from the calculation:
- Energy: -2.48 eV per atom
- Calculated formation energy: -0.1726 eV/atom
- Calculated volume: 171 Å³/cell
- Energy above the lowest structure with this stoichiometry: 205 meV per atom
- N(E_F): 0.55 states/eV per atom

a b c (Å): 9.4234 9.4234 9.4234
angles (deg): 159.23 144.79 41.23
Atoms (fractional coordinates):
Tb: 0.1552 0.1552 0.0000
Tb: 0.8448 0.8448 0.0000
Hg: 0.0000 0.5000 0.5000
Hg: 0.3252 0.3252 0.0000
Hg: 0.6748 0.6748 0.0000
Pb: 0.5000 0.5000 0.0000

Here is Tb4Hg5Pb after structural relaxation from the Alexandria database. Energies are from GGA-PBE.

Values from the calculation:
- Energy: -2.78 eV per atom
- Calculated formation energy: -0.4051 eV/atom
- Calculated volume: 263 Å³/cell
- N(E_F): 0.83 states/eV per atom

a b c (Å): 3.7731 3.7731 18.4537
angles (deg): 90.00 90.00 90.00
Atoms (fractional coordinates):
Tb: 0.0000 0.0000 0.0996
Tb: 0.0000 0.0000 0.3005
Tb: 0.0000 0.0000 0.6995
Tb: 0.0000 0.0000 0.9004
Hg: 0.5000 0.5000 0.0000
Hg: 0.5000 0.5000 0.1955
Hg: 0.5000 0.5000 0.3937
Hg: 0.5000 0.5000 0.6063
Hg: 0.5000 0.5000 0.8045
Pb: 0.0000 0.0000 0.5000

Here is Tb2Hg5Pb after structural relaxation from the Alexandria database. Energies are from GGA-PBE.

Values from the calculation:
- Energy: -2.15 eV per atom
- Calculated formation energy: -0.3380 eV/atom
- Calculated volume: 401 Å³/cell
- N(E_F): 0.70 states/eV per atom

a b c (Å): 6.6478 13.3125 4.5362
angles (deg): 90.00 90.00 90.00
Atoms (fractional coordinates):
Tb: 0.2362 0.1225 0.0000
Tb: 0.2638 0.6225 0.0000
Tb: 0.7362 0.3775 0.0000
Tb: 0.7638 0.8775 0.0000
Hg: 0.0000 0.5000 0.5000
Hg: 0.0207 0.7478 0.5000
Hg: 0.2327 0.3692 0.0000
Hg: 0.2673 0.8692 0.0000
Hg: 0.4793 0.2478 0.5000
Hg: 0.5000 0.0000 0.5000
Hg: 0.5207 0.7522 0.5000
Hg: 0.7327 0.1308 0.0000
Hg: 0.7673 0.6308 0.0000
Hg: 0.9793 0.2522 0.5000
Pb: 0.0000 0.0000 0.5000
Pb: 0.5000 0.5000 0.5000

Here is TbHg4Pb7 after structural relaxation from the Alexandria database. Energies are from GGA-PBE.

Values from the calculation:
- Energy: -2.61 eV per atom
- Calculated formation energy: 0.0398 eV/atom
- Calculated volume: 371 Å³/cell
- N(E_F): 0.60 states/eV per atom

a b c (Å): 7.1705 7.1705 9.6369
angles (deg): 104.64 104.64 51.35
Atoms (fractional coordinates):
Tb: 0.0000 0.0000 0.0000
Hg: 0.2498 0.2498 0.5897
Hg: 0.4986 0.4986 0.3365
Hg: 0.5014 0.5014 0.6635
Hg: 0.7502 0.7502 0.4103
Pb: 0.0013 0.0013 0.3366
Pb: 0.2405 0.2405 0.9124
Pb: 0.2421 0.2421 0.2667
Pb: 0.5000 0.5000 0.0000
Pb: 0.7579 0.7579 0.7333
Pb: 0.7595 0.7595 0.0876
Pb: 0.9987 0.9987 0.6634

Here is Tb2Hg2Pb3 after structural relaxation from the Alexandria database. Energies are from GGA-PBE.

Values from the calculation:
- Energy: -3.23 eV per atom
- Calculated formation energy: -0.2338 eV/atom
- Calculated volume: 197 Å³/cell
- N(E_F): 0.68 states/eV per atom

a b c (Å): 7.0674 7.0674 8.1224
angles (deg): 107.85 107.85 30.79
Atoms (fractional coordinates):
Tb: 0.1233 0.1233 0.4324
Tb: 0.8767 0.8767 0.5676
Hg: 0.4235 0.4235 0.2755
Hg: 0.5765 0.5765 0.7245
Pb: 0.0000 0.0000 0.0000
Pb: 0.2833 0.2833 0.8355
Pb: 0.7167 0.7167 0.1645

Here is Tb4Hg2Pb after structural relaxation from the Alexandria database. Energies are from GGA-PBE.

Values from the calculation:
- Energy: -3.56 eV per atom
- Calculated formation energy: -0.2962 eV/atom
- Calculated volume: 206 Å³/cell
- N(E_F): 1.30 states/eV per atom

a b c (Å): 9.3086 9.3086 9.3086
angles (deg): 32.39 32.39 32.39
Atoms (fractional coordinates):
Tb: 0.1186 0.1186 0.1186
Tb: 0.3708 0.3708 0.3708
Tb: 0.6292 0.6292 0.6292
Tb: 0.8814 0.8814 0.8814
Hg: 0.2566 0.2566 0.2566
Hg: 0.7434 0.7434 0.7434
Pb: 0.5000 0.5000 0.5000